# 1
The following is a GGA-PBE calculation of a relaxed structure of Sm4Bi3H4, from Alexandria via LeMat-Bulk.

It has space group Immm (No. 71), with a = 4.3314 Å, b = 7.6816 Å, c = 14.2028 Å, α = 90.00°, β = 90.00° and γ = 90.00°. The inequivalent atoms are Sm at (0.0000, 0.0000, 0.2164), Sm at (0.0000, 0.2296, 0.5000), Bi at (0.0000, 0.0000, 0.0000), Bi at (0.0000, 0.5000, 0.1193) and H at (0.0000, 0.3209, 0.3247).

The calculation puts the raw total energy at -4.513 eV per atom. The calculation puts the theoretical density at 8.66 g/cm³.

---

# 2
The following is a GGA-PBE calculation of a relaxed structure of LaAlTl2, from Alexandria via LeMat-Bulk.

It has space group C2/m (No. 12), with a = 8.7966 Å, b = 4.5782 Å, c = 5.9450 Å, α = 90.00°, β = 111.98° and γ = 90.00°. The inequivalent atoms are La at (0.0000, 0.0000, 0.0000), Al at (0.0000, 0.5000, 0.5000) and Tl at (0.2344, 0.0000, 0.6923).

The value obtained for the energy of formation from the pure elements is -0.201 eV/atom. The calculation puts the theoretical density at 8.60 g/cm³. The value obtained for the energy relative to the lowest polymorph listed for this composition is 0.075 eV per atom.